(1)
The following is a DFT calculation (PBE) of HfTeOF2 after structural relaxation.

Unit cell a=4.428 b=4.428 c=4.068 alpha=90.00 beta=90.00 gamma=90.00
Element x y z (fractional)
Hf (0.000, 0.000, 0.000)
Te (0.500, 0.500, 0.500)
O (0.000, 0.000, 0.500)
F (0.000, 0.500, 0.000)
F (0.500, 0.000, 0.000)

Results
formation energy (no corrections)	-2127	meV per atom
polymorph energy (0 for the lowest one)	0.0	meV/atom



(2)
The following is a DFT calculation (PBE) of CeVP after structural relaxation.

Unit cell a=4.110 b=4.110 c=3.923 alpha=90.00 beta=90.00 gamma=120.00
Element x y z (fractional)
Ce (0.000, 0.000, 0.000)
V (0.667, 0.333, 0.500)
P (0.333, 0.667, 0.500)

Results
energy of formation from the pure elements	-0.62	eV/atom



(3)
The following is a DFT calculation (PBE) of ErBrCl after structural relaxation.

Unit cell a=3.426 b=3.426 c=14.336 alpha=90.00 beta=90.00 gamma=90.00
Element x y z (fractional)
Er (0.000, 0.000, 0.000)
Er (0.500, 0.500, 0.500)
Br (0.000, 0.000, 0.380)
Br (0.500, 0.500, 0.880)
Cl (0.000, 0.000, 0.607)
Cl (0.500, 0.500, 0.107)

Results
formation energy (no corrections)	-1646	meV per atom



(4)
The following is a DFT calculation (PBE) of Ce2PuP3 after structural relaxation.

Unit cell a=4.069 b=5.746 c=12.164 alpha=90.00 beta=90.00 gamma=90.00
Element x y z (fractional)
Ce (0.000, 0.000, 0.167)
Ce (0.000, 0.000, 0.833)
Ce (0.500, 0.500, 0.333)
Ce (0.500, 0.500, 0.667)
Pu (0.000, 0.000, 0.500)
Pu (0.500, 0.500, 0.000)
P (0.000, 0.500, 0.163)
P (0.000, 0.500, 0.500)
P (0.000, 0.500, 0.837)
P (0.500, 0.000, 0.000)
P (0.500, 0.000, 0.337)
P (0.500, 0.000, 0.663)

Results
energy of formation from the pure elements	-1.38	eV/atom



(5)
The following is a DFT calculation (PBE) of MnCr2NiH after structural relaxation.

Unit cell a=3.658 b=3.658 c=3.571 alpha=90.00 beta=90.00 gamma=90.00
Element x y z (fractional)
Mn (0.000, 0.000, 0.000)
Cr (0.000, 0.500, 0.500)
Cr (0.500, 0.000, 0.500)
Ni (0.500, 0.500, 0.000)
H (0.500, 0.500, 0.500)

Results
polymorph energy (0 for the lowest one)	12.9	meV/atom



(6)
The following is a DFT calculation (PBE) of MgMnCd2 after structural relaxation.

Unit cell a=4.230 b=4.230 c=19.915 alpha=90.00 beta=90.00 gamma=90.00
Element x y z (fractional)
Mg (0.000, 0.000, 0.000)
Mg (0.000, 0.500, 0.250)
Mg (0.500, 0.000, 0.750)
Mg (0.500, 0.500, 0.500)
Mn (0.000, 0.000, 0.500)
Mn (0.000, 0.500, 0.750)
Mn (0.500, 0.000, 0.250)
Mn (0.500, 0.500, 0.000)
Cd (0.242, 0.250, 0.625)
Cd (0.250, 0.742, 0.875)
Cd (0.250, 0.758, 0.375)
Cd (0.258, 0.250, 0.125)
Cd (0.742, 0.750, 0.125)
Cd (0.750, 0.242, 0.375)
Cd (0.750, 0.258, 0.875)
Cd (0.758, 0.750, 0.625)

Results
energy of formation from the pure elements	0.36	eV/atom



(7)
The following is a DFT calculation (PBE) of Sc2PPb after structural relaxation.

Unit cell a=4.010 b=4.012 c=5.687 alpha=90.00 beta=90.20 gamma=90.00
Element x y z (fractional)
Sc (0.000, 0.000, 0.000)
Sc (0.500, 0.500, 0.500)
P (0.000, 0.000, 0.500)
Pb (0.500, 0.500, 0.000)

Results
polymorph energy (0 for the lowest one)	347.8	meV/atom
energy of formation from the pure elements	-0.64	eV/atom



(8)
The following is a DFT calculation (PBE) of Ac2DyYAs4 after structural relaxation.

Unit cell a=7.511 b=4.339 c=7.514 alpha=90.00 beta=109.44 gamma=90.00
Element x y z (fractional)
Ac (0.000, 0.000, 0.000)
Ac (0.500, 0.500, 0.000)
Dy (0.000, 0.500, 0.500)
Y (0.500, 0.000, 0.500)
As (0.242, 0.000, 0.727)
As (0.257, 0.500, 0.273)
As (0.743, 0.500, 0.727)
As (0.758, 0.000, 0.273)

Results
energy of formation from the pure elements	-1.48	eV/atom



(9)
The following is a DFT calculation (PBE) of HfTc2Mo after structural relaxation.

Unit cell a=7.164 b=7.164 c=5.502 alpha=90.00 beta=90.00 gamma=90.00
Element x y z (fractional)
Hf (0.000, 0.000, 0.000)
Hf (0.000, 0.500, 0.250)
Hf (0.500, 0.000, 0.750)
Hf (0.500, 0.500, 0.500)
Tc (0.225, 0.750, 0.625)
Tc (0.250, 0.225, 0.375)
Tc (0.250, 0.275, 0.875)
Tc (0.275, 0.750, 0.125)
Tc (0.725, 0.250, 0.125)
Tc (0.750, 0.725, 0.875)
Tc (0.750, 0.775, 0.375)
Tc (0.775, 0.250, 0.625)
Mo (0.000, 0.000, 0.500)
Mo (0.000, 0.500, 0.750)
Mo (0.500, 0.000, 0.250)
Mo (0.500, 0.500, 0.000)

Results
polymorph energy (0 for the lowest one)	764.9	meV/atom
energy of formation from the pure elements	0.47	eV/atom



(10)
The following is a DFT calculation (PBE) of CuPRu2 after structural relaxation.

Unit cell a=2.872 b=4.808 c=7.998 alpha=90.00 beta=90.00 gamma=90.00
Element x y z (fractional)
Cu (0.000, 0.000, 0.000)
Cu (0.500, 0.500, 0.000)
P (0.000, 0.000, 0.500)
P (0.500, 0.500, 0.500)
Ru (0.000, 0.500, 0.279)
Ru (0.000, 0.500, 0.721)
Ru (0.500, 0.000, 0.279)
Ru (0.500, 0.000, 0.721)

Results
energy of formation from the pure elements	0.18	eV/atom



(11)
The following is a DFT calculation (PBE) of RbHg4H4 after structural relaxation.

Unit cell a=9.744 b=9.744 c=3.849 alpha=90.00 beta=90.00 gamma=90.00
Element x y z (fractional)
Rb (0.250, 0.250, 0.250)
Rb (0.750, 0.750, 0.750)
Hg (0.074, 0.593, 0.226)
Hg (0.093, 0.926, 0.726)
Hg (0.407, 0.574, 0.726)
Hg (0.426, 0.907, 0.226)
Hg (0.574, 0.093, 0.774)
Hg (0.593, 0.426, 0.274)
Hg (0.907, 0.074, 0.274)
Hg (0.926, 0.407, 0.774)
H (0.058, 0.744, 0.531)
H (0.244, 0.942, 0.031)
H (0.256, 0.558, 0.031)
H (0.442, 0.756, 0.531)
H (0.558, 0.244, 0.469)
H (0.744, 0.442, 0.969)
H (0.756, 0.058, 0.969)
H (0.942, 0.256, 0.469)

Results
final energy	-1.529	eV/atom



(12)
The following is a DFT calculation (PBE) of BeFe2Re after structural relaxation.

Unit cell a=2.882 b=3.984 c=7.782 alpha=90.00 beta=90.00 gamma=90.00
Element x y z (fractional)
Be (0.000, 0.000, 0.000)
Be (0.500, 0.500, 0.500)
Fe (0.000, 0.000, 0.485)
Fe (0.000, 0.500, 0.726)
Fe (0.500, 0.000, 0.226)
Fe (0.500, 0.500, 0.985)
Re (0.000, 0.500, 0.245)
Re (0.500, 0.000, 0.745)

Results
energy of formation from the pure elements	0.04	eV/atom



(13)
The following is a DFT calculation (PBE) of SrHg2As after structural relaxation.

Unit cell a=4.295 b=4.373 c=6.283 alpha=90.00 beta=90.00 gamma=90.00
Element x y z (fractional)
Sr (0.000, 0.000, 0.000)
Hg (0.000, 0.000, 0.504)
Hg (0.500, 0.500, 0.385)
As (0.500, 0.500, 0.879)

Results
energy of formation from the pure elements	-0.33	eV/atom



(14)
The following is a DFT calculation (PBE) of RbCd4Pt after structural relaxation.

Unit cell a=7.248 b=7.276 c=7.403 alpha=67.04 beta=86.66 gamma=81.18
Element x y z (fractional)
Rb (0.176, 0.182, 0.042)
Rb (0.824, 0.818, 0.958)
Cd (0.125, 0.656, 0.433)
Cd (0.284, 0.210, 0.524)
Cd (0.330, 0.766, 0.699)
Cd (0.383, 0.615, 0.118)
Cd (0.617, 0.385, 0.882)
Cd (0.670, 0.234, 0.301)
Cd (0.716, 0.790, 0.476)
Cd (0.875, 0.344, 0.567)
Pt (0.000, 0.000, 0.500)
Pt (0.500, 0.500, 0.500)

Results
polymorph energy (0 for the lowest one)	0.0	meV/atom
energy of formation from the pure elements	-0.15	eV/atom



(15)
The following is a DFT calculation (PBE) of NbAgPd2Pb after structural relaxation.

Unit cell a=5.012 b=5.012 c=5.100 alpha=90.00 beta=90.00 gamma=90.00
Element x y z (fractional)
Nb (0.000, 0.000, 0.000)
Ag (0.500, 0.500, 0.000)
Pd (0.000, 0.500, 0.500)
Pd (0.500, 0.000, 0.500)
Pb (0.500, 0.500, 0.500)

Results
energy of formation from the pure elements	1.20	eV/atom



(16)
The following is a DFT calculation (PBE) of CaCdIn2 after structural relaxation.

Unit cell a=6.675 b=6.708 c=9.380 alpha=90.00 beta=90.00 gamma=90.00
Element x y z (fractional)
Ca (0.000, 0.000, 0.000)
Ca (0.000, 0.500, 0.500)
Ca (0.500, 0.000, 0.500)
Ca (0.500, 0.500, 0.000)
Cd (0.250, 0.250, 0.250)
Cd (0.250, 0.750, 0.750)
Cd (0.750, 0.250, 0.750)
Cd (0.750, 0.750, 0.250)
In (0.000, 0.000, 0.500)
In (0.000, 0.500, 0.000)
In (0.250, 0.250, 0.750)
In (0.250, 0.750, 0.250)
In (0.500, 0.000, 0.000)
In (0.500, 0.500, 0.500)
In (0.750, 0.250, 0.250)
In (0.750, 0.750, 0.750)

Results
energy of formation from the pure elements	-0.26	eV/atom



(17)
The following is a DFT calculation (PBE) of LiPdIN2 after structural relaxation.

Unit cell a=3.905 b=3.905 c=5.957 alpha=90.00 beta=90.00 gamma=90.00
Element x y z (fractional)
Li (0.000, 0.000, 0.000)
Pd (0.500, 0.500, 0.500)
I (0.000, 0.000, 0.500)
N (0.000, 0.500, 0.000)
N (0.500, 0.000, 0.000)

Results
formation energy (no corrections)	1621	meV per atom
polymorph energy (0 for the lowest one)	740.4	meV/atom



(18)
The following is a DFT calculation (PBE) of PrTmTe2O8 after structural relaxation.

Unit cell a=6.309 b=6.309 c=6.309 alpha=107.41 beta=107.41 gamma=113.67
Element x y z (fractional)
Pr (0.000, 0.000, 0.000)
Tm (0.250, 0.750, 0.500)
Te (0.500, 0.500, 0.000)
Te (0.750, 0.250, 0.500)
O (0.302, 0.109, 0.807)
O (0.302, 0.495, 0.193)
O (0.373, 0.051, 0.322)
O (0.505, 0.698, 0.807)
O (0.729, 0.051, 0.678)
O (0.891, 0.698, 0.193)
O (0.949, 0.271, 0.322)
O (0.949, 0.627, 0.678)

Results
formation energy (no corrections)	-1919	meV per atom



(19)
The following is a DFT calculation (PBE) of Hf3TaIr after structural relaxation.

Unit cell a=4.954 b=4.954 c=4.954 alpha=90.00 beta=90.00 gamma=90.00
Element x y z (fractional)
Hf (0.000, 0.000, 0.500)
Hf (0.000, 0.500, 0.000)
Hf (0.500, 0.000, 0.000)
Ta (0.500, 0.500, 0.500)
Ir (0.000, 0.000, 0.000)

Results
polymorph energy (0 for the lowest one)	0.0	meV/atom
energy of formation from the pure elements	0.58	eV/atom



(20)
The following is a DFT calculation (PBE) of AlPd3Pt after structural relaxation.

Unit cell a=4.889 b=4.889 c=4.889 alpha=90.00 beta=90.00 gamma=90.00
Element x y z (fractional)
Al (0.000, 0.000, 0.000)
Pd (0.000, 0.500, 0.500)
Pd (0.500, 0.000, 0.500)
Pd (0.500, 0.500, 0.000)
Pt (0.500, 0.500, 0.500)

Results
polymorph energy (0 for the lowest one)	1339.2	meV/atom
energy of formation from the pure elements	0.93	eV/atom



no.,size of the total moment (μB/f.u.)
1,1.99
2,0.00
3,0.00
4,6.31
5,0.16
6,3.90
7,0.00
8,0.00
9,0.00
10,0.00
11,0.00
12,1.47
13,0.00
14,0.00
15,3.12
16,0.00
17,3.87
18,0.00
19,0.00
20,0.00